A plane-wave DFT calculation with GGA-PBE was carried out for a relaxed structure of Rb2ScCuCl6.

Lattice parameters (Å, degrees): 7.1727 7.1727 7.1727 60.00 60.00 60.00
Site moments in Bohr magnetons follow the coordinates.
Sites, in units of the cell vectors:
Rb: 0.7500 0.7500 0.7500  0.00
Rb: 0.2500 0.2500 0.2500  0.00
Cl: 0.7524 0.2476 0.7524  0.00
Cl: 0.2476 0.7524 0.2476  0.00
Cl: 0.2476 0.7524 0.7524  0.00
Cl: 0.7524 0.7524 0.2476  0.00
Cl: 0.2476 0.2476 0.7524  0.00
Cl: 0.7524 0.2476 0.2476  0.00
Sc: 0.0000 0.0000 0.0000  0.00
Cu: 0.5000 0.5000 0.5000  0.07

Computed properties:
formation energy (no corrections): -1.71 eV per atom
density of states at the Fermi level: 0.000 states/eV per cell
offset from the most stable computed form: 0.0 meV/atom
size of the total moment: 0.01 μB per atom
V: 26.09 A^3/atom
DFT total energy: -40.59 eV for the cell shown